(1)
# TbTmSiIr (PBE, optimized geometry)
# Energy relative to the elements, uncorrected = -0.878 eV per atom
# Density of states at the Fermi level = 2.28 states/eV/f.u.
data_TbTmSiIr
_cell_length_a 3.934
_cell_length_b 4.170
_cell_length_c 10.574
_cell_angle_alpha 90.00
_cell_angle_beta 90.00
_cell_angle_gamma 90.00
_symmetry_space_group_name_H-M 'A m m 2'
_symmetry_Int_Tables_number 38
loop_
_symmetry_equiv_pos_as_xyz
'x,y,z'
'-x,-y,z'
'-x,y,z'
'x,-y,z'
'x,y+1/2,z+1/2'
'-x,-y+1/2,z+1/2'
'-x,y+1/2,z+1/2'
'x,-y+1/2,z+1/2'
loop_
_atom_site_label
_atom_site_fract_x
_atom_site_fract_y
_atom_site_fract_z
Tb1 0.000 0.000 0.000
Tm1 0.500 0.000 0.283
Si1 0.500 0.000 0.578
Ir1 0.000 0.000 0.721



(2)
# Tb2ZnSi4Ir3 (PBE, optimized geometry)
# Energy relative to the elements, uncorrected = -0.881 eV per atom
# Density of states at the Fermi level = 4.93 states/eV/f.u.
data_Tb2ZnSi4Ir3
_cell_length_a 4.124
_cell_length_b 4.124
_cell_length_c 10.065
_cell_angle_alpha 90.00
_cell_angle_beta 90.00
_cell_angle_gamma 90.00
_symmetry_space_group_name_H-M 'P -4 m 2'
_symmetry_Int_Tables_number 115
loop_
_symmetry_equiv_pos_as_xyz
'x,y,z'
'y,-x,-z'
'-x,-y,z'
'-y,x,-z'
'-x,y,z'
'-y,-x,-z'
'x,-y,z'
'y,x,-z'
loop_
_atom_site_label
_atom_site_fract_x
_atom_site_fract_y
_atom_site_fract_z
Tb1 0.000 0.500 0.243
Zn1 0.000 0.000 0.500
Si1 0.000 0.000 0.000
Si2 0.000 0.500 0.640
Si3 0.500 0.500 0.000
Ir1 0.000 0.500 0.875
Ir2 0.500 0.500 0.500



(3)
# SiTcIr (PBE, optimized geometry)
# Energy relative to the elements, uncorrected = -0.259 eV per atom
# ΔE to the lowest computed polymorph = 82 meV per atom
# Density of states at the Fermi level = 1.58 states/eV/f.u.
data_SiTcIr
_cell_length_a 7.764
_cell_length_b 4.139
_cell_length_c 5.731
_cell_angle_alpha 90.00
_cell_angle_beta 90.00
_cell_angle_gamma 90.00
_symmetry_space_group_name_H-M 'P n m a'
_symmetry_Int_Tables_number 62
loop_
_symmetry_equiv_pos_as_xyz
'x,y,z'
'-x,-y,-z'
'-x+1/2,-y,z+1/2'
'x+1/2,y,-z+1/2'
'x+1/2,-y+1/2,-z+1/2'
'-x+1/2,y+1/2,z+1/2'
'-x,y+1/2,-z'
'x,-y+1/2,z'
loop_
_atom_site_label
_atom_site_fract_x
_atom_site_fract_y
_atom_site_fract_z
Si1 0.147 0.250 0.195
Tc1 0.080 0.750 0.467
Ir1 0.133 0.750 0.984



(4)
# Si2TcIr (PBE, optimized geometry)
# Energy relative to the elements, uncorrected = -0.493 eV per atom
# ΔE to the lowest computed polymorph = 61 meV per atom
# Density of states at the Fermi level = 1.06 states/eV/f.u.
data_Si2TcIr
_cell_length_a 2.977
_cell_length_b 2.977
_cell_length_c 5.934
_cell_angle_alpha 90.00
_cell_angle_beta 90.00
_cell_angle_gamma 90.00
_symmetry_space_group_name_H-M 'P 4/m m m'
_symmetry_Int_Tables_number 123
_symmetry_space_group_name_Hall '-P 4 2'
loop_
_atom_site_label
_atom_site_fract_x
_atom_site_fract_y
_atom_site_fract_z
Si1 0.000 0.000 0.232
Tc1 0.500 0.500 0.000
Ir1 0.500 0.500 0.500



(5)
# SiTcIr2 (PBE, optimized geometry)
# Energy relative to the elements, uncorrected = -0.137 eV per atom
# Density of states at the Fermi level = 2.67 states/eV/f.u.
data_SiTcIr2
_cell_length_a 4.607
_cell_length_b 2.735
_cell_length_c 4.694
_cell_angle_alpha 90.00
_cell_angle_beta 107.66
_cell_angle_gamma 90.00
_symmetry_space_group_name_H-M 'P 1 2/m 1'
_symmetry_Int_Tables_number 10
loop_
_symmetry_equiv_pos_as_xyz
'x,y,z'
'-x,-y,-z'
'-x,y,-z'
'x,-y,z'
loop_
_atom_site_label
_atom_site_fract_x
_atom_site_fract_y
_atom_site_fract_z
Si1 0.000 0.000 0.000
Tc1 0.500 0.500 0.000
Ir1 0.000 0.500 0.500
Ir2 0.500 0.000 0.500



(6)
# SiTcIr2 (PBE, optimized geometry)
# Energy relative to the elements, uncorrected = -0.053 eV per atom
# Density of states at the Fermi level = 5.84 states/eV/f.u.
data_SiTcIr2
_cell_length_a 3.831
_cell_length_b 3.831
_cell_length_c 3.849
_cell_angle_alpha 90.00
_cell_angle_beta 90.00
_cell_angle_gamma 90.00
_symmetry_space_group_name_H-M 'P 4/m m m'
_symmetry_Int_Tables_number 123
_symmetry_space_group_name_Hall '-P 4 2'
loop_
_atom_site_label
_atom_site_fract_x
_atom_site_fract_y
_atom_site_fract_z
Si1 0.000 0.000 0.000
Tc1 0.500 0.500 0.000
Ir1 0.000 0.500 0.500



(7)
# SiTcIr2 (PBE, optimized geometry)
# Energy relative to the elements, uncorrected = -0.319 eV per atom
# Density of states at the Fermi level = 1.63 states/eV/f.u.
data_SiTcIr2
_cell_length_a 2.855
_cell_length_b 2.855
_cell_length_c 6.838
_cell_angle_alpha 90.00
_cell_angle_beta 90.00
_cell_angle_gamma 90.00
_symmetry_space_group_name_H-M 'P 4 m m'
_symmetry_Int_Tables_number 99
loop_
_symmetry_equiv_pos_as_xyz
'x,y,z'
'-y,x,z'
'-x,-y,z'
'y,-x,z'
'-x,y,z'
'y,x,z'
'x,-y,z'
'-y,-x,z'
loop_
_atom_site_label
_atom_site_fract_x
_atom_site_fract_y
_atom_site_fract_z
Si1 0.000 0.000 0.000
Tc1 0.500 0.500 0.237
Ir1 0.000 0.000 0.489
Ir2 0.500 0.500 0.799



(8)
# SiTcIr3 (PBE, optimized geometry)
# Energy relative to the elements, uncorrected = 0.940 eV per atom
# ΔE to the lowest computed polymorph = 0 meV per atom
# Density of states at the Fermi level = 5.64 states/eV/f.u.
data_SiTcIr3
_cell_length_a 4.416
_cell_length_b 4.416
_cell_length_c 4.416
_cell_angle_alpha 90.00
_cell_angle_beta 90.00
_cell_angle_gamma 90.00
_symmetry_space_group_name_H-M 'P m -3 m'
_symmetry_Int_Tables_number 221
_symmetry_space_group_name_Hall '-P 4 2 3'
loop_
_atom_site_label
_atom_site_fract_x
_atom_site_fract_y
_atom_site_fract_z
Si1 0.000 0.000 0.000
Tc1 0.500 0.500 0.500
Ir1 0.000 0.000 0.500



(9)
# Si2TcIr (PBE, optimized geometry)
# Energy relative to the elements, uncorrected = -0.146 eV per atom
# ΔE to the lowest computed polymorph = 408 meV per atom
# Density of states at the Fermi level = 0.64 states/eV/f.u.
data_Si2TcIr
_cell_length_a 2.8758
_cell_length_b 2.8758
_cell_length_c 23.5760
_cell_angle_alpha 90.00
_cell_angle_beta 90.00
_cell_angle_gamma 120.00
_symmetry_space_group_name_H-M 'R 3 m'
_symmetry_Int_Tables_number 160
_symmetry_space_group_name_Hall 'R 3 -2"'
loop_
_atom_site_label
_atom_site_fract_x
_atom_site_fract_y
_atom_site_fract_z
Si1 0.0000 0.0000 0.0000
Si2 0.0000 0.0000 0.2498
Tc1 0.0000 0.0000 0.7434
Ir1 0.0000 0.0000 0.5072



(10)
# SiTcIr3 (PBE, optimized geometry)
# Energy relative to the elements, uncorrected = 1.795 eV per atom
# ΔE to the lowest computed polymorph = 854 meV per atom
# Density of states at the Fermi level = 4.90 states/eV/f.u.
data_SiTcIr3
_cell_length_a 4.699
_cell_length_b 4.699
_cell_length_c 4.699
_cell_angle_alpha 90.00
_cell_angle_beta 90.00
_cell_angle_gamma 90.00
_symmetry_space_group_name_H-M 'P m -3 m'
_symmetry_Int_Tables_number 221
_symmetry_space_group_name_Hall '-P 4 2 3'
loop_
_atom_site_label
_atom_site_fract_x
_atom_site_fract_y
_atom_site_fract_z
Si1 0.000 0.000 0.000
Tc1 0.500 0.500 0.500
Ir1 0.000 0.500 0.500